First-principles (GGA-PBE) data for PrTlPb after structural relaxation, as listed in OQMD via LeMat-Bulk.

Properties
* ρ: 9.06 g cm⁻³
* total magnetization: 0.00 μB/f.u.
* total energy: -3.74 eV per atom

Lattice parameters (Å, degrees): 7.399 7.399 7.399 90.00 90.00 90.00
Space group F-43m (No. 216)
One atom of each set of equivalent atoms:
Pr  0.000  0.000  0.000 [4 per cell]
Tl  0.250  0.250  0.750 [4 per cell]
Pb  0.000  0.000  0.500 [4 per cell]

***

First-principles (GGA-PBE) data for GdAlPbSe3 after structural relaxation, as listed in OQMD via LeMat-Bulk.

Properties
* ρ: 6.23 g cm⁻³
* total magnetization: 0.01 μB/f.u.
* total energy: -4.68 eV per atom

Lattice parameters (Å, degrees): 4.006 14.954 11.174 90.00 90.00 90.00
Space group Cmcm (No. 63)
One atom of each set of equivalent atoms:
Gd  0.000  0.000  0.000 [4 per cell]
Al  0.000  0.366  0.250 [4 per cell]
Pb  0.000  0.295  0.750 [4 per cell]
Se  0.000  0.025  0.750 [4 per cell]
Se  0.000  0.362  0.007 [8 per cell]

***

First-principles (GGA-PBE) data for LaGdMg2Ag2 after structural relaxation, as listed in OQMD via LeMat-Bulk.

Properties
* ρ: 6.18 g cm⁻³
* total magnetization: 0.00 μB/f.u.
* total energy: -3.33 eV per atom

Lattice parameters (Å, degrees): 4.299 13.463 7.804 90.00 90.00 90.00
Space group Pmm2 (No. 25)
One atom of each set of equivalent atoms:
La  0.000  0.000  0.000 [1 per cell]
La  0.000  0.292  0.874 [2 per cell]
Gd  0.000  0.207  0.379 [2 per cell]
Gd  0.000  0.500  0.499 [1 per cell]
Mg  0.500  0.000  0.346 [1 per cell]
Mg  0.500  0.121  0.698 [2 per cell]
Mg  0.500  0.380  0.210 [2 per cell]
Mg  0.500  0.500  0.840 [1 per cell]
Ag  0.000  0.000  0.579 [1 per cell]
Ag  0.000  0.500  0.088 [1 per cell]
Ag  0.500  0.169  0.094 [2 per cell]
Ag  0.500  0.335  0.575 [2 per cell]

***

First-principles (GGA-PBE) data for Dy2Mg2AgAu3 after structural relaxation, as listed in OQMD via LeMat-Bulk.

Properties
* ρ: 10.65 g cm⁻³
* total magnetization: 0.01 μB/f.u.
* total energy: -3.79 eV per atom

Lattice parameters (Å, degrees): 4.912 4.912 6.930 90.00 90.00 90.00
Space group Pm (No. 6)
One atom of each set of equivalent atoms:
Dy  0.000  0.000  0.000 [1 per cell]
Dy  0.492  0.500  0.491 [1 per cell]
Mg  0.494  0.500  0.997 [1 per cell]
Mg  0.998  0.000  0.494 [1 per cell]
Ag  0.991  0.500  0.746 [1 per cell]
Au  0.501  0.000  0.246 [1 per cell]
Au  0.501  0.000  0.746 [1 per cell]
Au  0.991  0.500  0.246 [1 per cell]

***

First-principles (GGA-PBE) data for LaPrBi2Te2 after structural relaxation, as listed in OQMD via LeMat-Bulk.

Properties
* ρ: 8.13 g cm⁻³
* total magnetization: 0.00 μB/f.u.
* total energy: -5.18 eV per atom

Lattice parameters (Å, degrees): 4.493 4.493 9.641 90.00 90.00 90.00
Space group P4mm (No. 99)
One atom of each set of equivalent atoms:
La  0.000  0.000  0.000 [1 per cell]
Pr  0.500  0.500  0.430 [1 per cell]
Bi  0.000  0.500  0.712 [2 per cell]
Te  0.000  0.000  0.342 [1 per cell]
Te  0.500  0.500  0.086 [1 per cell]

***

First-principles (GGA-PBE) data for HoInPt after structural relaxation, as listed in OQMD via LeMat-Bulk.

Properties
* ρ: 12.21 g cm⁻³
* total magnetization: 0.00 μB/f.u.
* total energy: -5.18 eV per atom

Lattice parameters (Å, degrees): 7.2094 7.2094 4.3053 90.00 90.00 120.00
Space group P-62m (No. 189)
One atom of each set of equivalent atoms:
Ho  0.0000  0.5700  0.0000 [3 per cell]
In  0.0000  0.0000  0.0000 [1 per cell]
In  0.3333  0.6667  0.5000 [2 per cell]
Pt  0.0000  0.2464  0.5000 [3 per cell]

***

total magnetization of number 1 (PrTlPb)? 0.00 μB/f.u.

***

Which of these has the highest ρ? HoInPt

***

What is the total magnetization in the fourth record? 0.01 μB/f.u.